DFT (PBE-GGA) results for a geometry-optimized SmSc2Cd2 structure.

Output
Calculated total energy   -0.143 Ha/atom
Magnetic moment   0.000 μB per cell
Calculated volume   268 Å³/cell
Formation enthalpy at 0 K   -0.041 eV per atom
ΔE to the lowest computed polymorph   168 meV/atom

```
SmSc2Cd2
1.0
4.7491 0.0000 0.0000
0.0000 4.7491 0.0000
-2.3745 -2.3745 11.8708
Sc Cd Sm
4 4 2
Cartesian
0.0000 2.3745 5.9354
2.3745 0.0000 5.9354
2.3745 2.3745 10.1706
0.0000 0.0000 1.7001
0.0000 0.0000 4.3683
2.3745 0.0000 0.0000
0.0000 2.3745 0.0000
2.3745 2.3745 7.5025
0.0000 0.0000 8.8455
2.3745 2.3745 3.0253
```

---

DFT (PBE-GGA) results for a geometry-optimized Tb7Tm4Zr structure.

Output
Calculated total energy   -0.174 Ha/atom
Magnetic moment   0.006 μB per cell
Calculated volume   372 Å³/cell
Formation enthalpy at 0 K   0.163 eV per atom

```
Tb7Tm4Zr
1.0
5.6676 1.4797 0.5671
3.8148 7.7464 2.7276
-1.5488 -0.0226 9.6969
Tb Tm Zr
7 4 1
Cartesian
7.8951 7.6855 6.3953
3.3423 4.0443 2.0918
4.5913 5.1593 10.8998
2.8628 2.8648 5.1028
5.0707 6.3388 7.8888
0.0385 1.5181 6.5964
2.8338 0.7399 0.2836
7.3157 8.0804 9.9673
2.5280 3.6217 8.3734
0.6179 1.1232 3.0244
5.4056 5.5819 4.6183
0.0000 0.0000 0.0000
```

---

DFT (PBE-GGA) results for a geometry-optimized TaV6Re structure.

Output
Calculated total energy   -0.358 Ha/atom
Magnetic moment   0.000 μB per cell
Calculated volume   118 Å³/cell
Formation enthalpy at 0 K   0.141 eV per atom

```
TaV6Re
1.0
5.3039 -0.7688 -0.8696
-1.3435 5.1882 -0.8696
-1.3435 -1.4992 5.0425
V Re Ta
6 1 1
Cartesian
2.6198 -0.3744 2.8993
-0.6583 2.5632 2.8993
-0.0028 -0.0031 3.3193
-0.0028 3.2947 0.4039
2.6198 2.9234 -0.0161
3.2753 0.3571 0.4039
1.3085 1.4601 1.6516
0.0000 0.0000 0.0000
```

---

DFT (PBE-GGA) results for a geometry-optimized NaHg2I structure.

Output
Calculated total energy   -0.049 Ha/atom
E_form (uncorrected)   -0.456 eV per atom
Magnetic moment   0.000 μB per cell
Calculated volume   291 Å³/cell
ΔE to the lowest computed polymorph   123 meV/atom

```
NaHg2I
1.0
9.7474 0.0000 0.0000
0.0000 9.7474 0.0000
4.8737 4.8737 3.0641
Hg Na I
4 2 2
Cartesian
7.0451 2.4369 0.7660
12.1843 11.9188 2.2980
7.3106 7.5761 2.2980
2.7023 7.3106 0.7660
4.8737 9.7474 1.5320
4.8737 4.8737 0.0000
9.7474 4.8737 1.5320
0.0000 0.0000 0.0000
```

---

DFT (PBE-GGA) results for a geometry-optimized TcNiCl2 structure.

Output
Calculated total energy   -0.159 Ha/atom
E_form (uncorrected)   0.625 eV per atom
Magnetic moment   4.073 μB per cell
Calculated volume   69 Å³/cell
ΔE to the lowest computed polymorph   678 meV/atom

```
TcNiCl2
1.0
6.1407 -0.0194 0.0000
4.1485 4.5276 0.0000
-5.1446 -2.2541 2.4821
Ni Cl Tc
1 2 1
Cartesian
5.1446 2.2541 0.0000
2.0742 2.2638 1.2411
0.0000 0.0000 0.0000
3.0703 -0.0097 1.2411
```

---

DFT (PBE-GGA) results for a geometry-optimized Pm2Y2Mg3 structure.

Output
Calculated total energy   -0.142 Ha/atom
Magnetic moment   0.000 μB per cell
Calculated volume   208 Å³/cell
Formation enthalpy at 0 K   0.016 eV per atom
ΔE to the lowest computed polymorph   98 meV/atom

```
Pm2Y2Mg3
1.0
-2.6731 1.6532 -1.6767
-2.5586 -1.4567 6.4446
5.1767 7.8840 -0.4508
Mg Pm Y
3 2 2
Cartesian
1.5252 5.7865 3.3342
0.0000 0.0000 0.0000
-1.5803 2.2940 0.9830
1.8718 7.0919 0.2576
-1.9268 0.9886 4.0596
-1.5452 4.5934 3.2563
1.4901 3.4871 1.0608
```

---

Look up the calculated volume of the second one. 372 Å³/cell

---

What is the formula in the second record? Tb7Tm4Zr

---

Repeat the fourth record exactly.
DFT (PBE-GGA) results for a geometry-optimized NaHg2I structure.

Output
Calculated total energy   -0.049 Ha/atom
E_form (uncorrected)   -0.456 eV per atom
Magnetic moment   0.000 μB per cell
Calculated volume   291 Å³/cell
ΔE to the lowest computed polymorph   123 meV/atom

```
NaHg2I
1.0
9.7474 0.0000 0.0000
0.0000 9.7474 0.0000
4.8737 4.8737 3.0641
Hg Na I
4 2 2
Cartesian
7.0451 2.4369 0.7660
12.1843 11.9188 2.2980
7.3106 7.5761 2.2980
2.7023 7.3106 0.7660
4.8737 9.7474 1.5320
4.8737 4.8737 0.0000
9.7474 4.8737 1.5320
0.0000 0.0000 0.0000
```

---

Number 3 is which compound? TaV6Re